[1]
Below is a geometry-optimized SrZr2Pb structure, with properties calculated at the PBE level.

Structure (CIF):
```
data_SrZr2Pb
_chemical_formula_sum 'Sr1 Zr2 Pb1'
_space_group_name_H-M_alt 'P 1'
_space_group_IT_number 1
_cell_length_a 5.978
_cell_length_b 5.978
_cell_length_c 5.978
_cell_angle_alpha 134.51
_cell_angle_beta 134.51
_cell_angle_gamma 66.30
loop_
_space_group_symop_operation_xyz
'x,y,z'
loop_
_atom_site_label
_atom_site_type_symbol
_atom_site_fract_x
_atom_site_fract_y
_atom_site_fract_z
Pb1 Pb 0.250 0.750 0.500
Sr1 Sr 0.750 0.250 0.500
Zr1 Zr 0.000 0.000 0.000
Zr2 Zr 0.500 0.500 0.000
```

The density of states at the Fermi level is 4.975 states/eV per cell. The value obtained for the formation enthalpy at 0 K is 0.205 eV/atom.

=====

[2]
Below is a geometry-optimized Sr2ZrPb structure, with properties calculated at the PBE level.

Structure (CIF):
```
data_Sr2ZrPb
_chemical_formula_sum 'Sr2 Zr1 Pb1'
_space_group_name_H-M_alt 'P 1'
_space_group_IT_number 1
_cell_length_a 5.657
_cell_length_b 5.657
_cell_length_c 5.657
_cell_angle_alpha 60.00
_cell_angle_beta 60.00
_cell_angle_gamma 60.00
loop_
_space_group_symop_operation_xyz
'x,y,z'
loop_
_atom_site_label
_atom_site_type_symbol
_atom_site_fract_x
_atom_site_fract_y
_atom_site_fract_z
Pb1 Pb 0.500 0.500 0.500
Sr1 Sr 0.000 0.000 0.000
Sr2 Sr 0.250 0.250 0.250
Zr1 Zr 0.750 0.750 0.750
```

The density of states at the Fermi level is 3.741 states/eV per cell. The value obtained for the formation enthalpy at 0 K is 0.227 eV/atom.

=====

[3]
Below is a geometry-optimized SrZr4Pb structure, with properties calculated at the PBE level.

Structure (CIF):
```
data_SrZr4Pb
_chemical_formula_sum 'Sr1 Zr4 Pb1'
_space_group_name_H-M_alt 'P 1'
_space_group_IT_number 1
_cell_length_a 6.091
_cell_length_b 6.091
_cell_length_c 6.091
_cell_angle_alpha 60.00
_cell_angle_beta 60.00
_cell_angle_gamma 60.00
loop_
_space_group_symop_operation_xyz
'x,y,z'
loop_
_atom_site_label
_atom_site_type_symbol
_atom_site_fract_x
_atom_site_fract_y
_atom_site_fract_z
Sr1 Sr 0.000 0.000 0.000
Zr1 Zr 0.884 0.372 0.372
Zr2 Zr 0.372 0.372 0.884
Zr3 Zr 0.372 0.884 0.372
Zr4 Zr 0.372 0.372 0.372
Pb1 Pb 0.750 0.750 0.750
```

The density of states at the Fermi level is 10.918 states/eV per cell. The value obtained for the formation enthalpy at 0 K is 0.327 eV/atom.

=====

[4]
Below is a geometry-optimized SrZr2Pb structure, with properties calculated at the PBE level.

Structure (CIF):
```
data_SrZr2Pb
_chemical_formula_sum 'Sr1 Zr2 Pb1'
_space_group_name_H-M_alt 'P 1'
_space_group_IT_number 1
_cell_length_a 3.337
_cell_length_b 3.337
_cell_length_c 10.212
_cell_angle_alpha 90.00
_cell_angle_beta 90.00
_cell_angle_gamma 90.00
loop_
_space_group_symop_operation_xyz
'x,y,z'
loop_
_atom_site_label
_atom_site_type_symbol
_atom_site_fract_x
_atom_site_fract_y
_atom_site_fract_z
Pb1 Pb 0.500 0.500 0.250
Sr1 Sr 0.500 0.500 0.750
Zr1 Zr 0.000 0.000 0.045
Zr2 Zr 0.000 0.000 0.455
```

The density of states at the Fermi level is 4.563 states/eV per cell. The value obtained for the formation enthalpy at 0 K is 0.300 eV/atom.

=====

[5]
Below is a geometry-optimized SrZrPb structure, with properties calculated at the PBE level.

Structure (CIF):
```
data_SrZrPb
_chemical_formula_sum 'Sr1 Zr1 Pb1'
_space_group_name_H-M_alt 'P 1'
_space_group_IT_number 1
_cell_length_a 5.345
_cell_length_b 5.345
_cell_length_c 5.345
_cell_angle_alpha 60.00
_cell_angle_beta 60.00
_cell_angle_gamma 60.00
loop_
_space_group_symop_operation_xyz
'x,y,z'
loop_
_atom_site_label
_atom_site_type_symbol
_atom_site_fract_x
_atom_site_fract_y
_atom_site_fract_z
Pb1 Pb 0.500 0.500 0.500
Sr1 Sr 0.750 0.750 0.750
Zr1 Zr 0.000 0.000 0.000
```

The density of states at the Fermi level is 6.768 states/eV per cell. The value obtained for the formation enthalpy at 0 K is 0.908 eV/atom.

=====

[6]
Below is a geometry-optimized Sr3ZrPb structure, with properties calculated at the PBE level.

Structure (CIF):
```
data_Sr3ZrPb
_chemical_formula_sum 'Sr3 Zr1 Pb1'
_space_group_name_H-M_alt 'P 1'
_space_group_IT_number 1
_cell_length_a 6.015
_cell_length_b 6.015
_cell_length_c 6.015
_cell_angle_alpha 90.00
_cell_angle_beta 90.00
_cell_angle_gamma 90.00
loop_
_space_group_symop_operation_xyz
'x,y,z'
loop_
_atom_site_label
_atom_site_type_symbol
_atom_site_fract_x
_atom_site_fract_y
_atom_site_fract_z
Pb1 Pb 0.500 0.500 0.500
Sr1 Sr 0.000 0.500 0.000
Sr2 Sr 0.000 0.000 0.500
Sr3 Sr 0.500 0.000 0.000
Zr1 Zr 0.000 0.000 0.000
```

The density of states at the Fermi level is 4.584 states/eV per cell. The value obtained for the formation enthalpy at 0 K is 0.757 eV/atom. For the offset from the most stable computed form, the calculation gives 183.8 meV per atom.

=====

[7]
Below is a geometry-optimized Sr2ZrPb structure, with properties calculated at the PBE level.

Structure (CIF):
```
data_Sr2ZrPb
_chemical_formula_sum 'Sr2 Zr1 Pb1'
_space_group_name_H-M_alt 'P 1'
_space_group_IT_number 1
_cell_length_a 3.536
_cell_length_b 3.536
_cell_length_c 10.725
_cell_angle_alpha 90.00
_cell_angle_beta 90.00
_cell_angle_gamma 89.94
loop_
_space_group_symop_operation_xyz
'x,y,z'
loop_
_atom_site_label
_atom_site_type_symbol
_atom_site_fract_x
_atom_site_fract_y
_atom_site_fract_z
Pb1 Pb 0.500 0.500 0.750
Sr1 Sr 0.000 0.000 0.990
Sr2 Sr 0.000 0.000 0.510
Zr1 Zr 0.500 0.500 0.250
```

The density of states at the Fermi level is 5.203 states/eV per cell. The value obtained for the formation enthalpy at 0 K is 0.139 eV/atom.

=====

[8]
Below is a geometry-optimized SrZr2Pb2 structure, with properties calculated at the PBE level.

Structure (CIF):
```
data_SrZr2Pb2
_chemical_formula_sum 'Sr1 Zr2 Pb2'
_space_group_name_H-M_alt 'P 1'
_space_group_IT_number 1
_cell_length_a 4.602
_cell_length_b 4.602
_cell_length_c 7.693
_cell_angle_alpha 72.60
_cell_angle_beta 72.60
_cell_angle_gamma 90.00
loop_
_space_group_symop_operation_xyz
'x,y,z'
loop_
_atom_site_label
_atom_site_type_symbol
_atom_site_fract_x
_atom_site_fract_y
_atom_site_fract_z
Pb1 Pb 0.389 0.389 0.221
Pb2 Pb 0.611 0.611 0.779
Sr1 Sr 0.000 0.000 0.000
Zr1 Zr 0.750 0.250 0.500
Zr2 Zr 0.250 0.750 0.500
```

The density of states at the Fermi level is 5.321 states/eV per cell. The value obtained for the formation enthalpy at 0 K is -0.160 eV/atom. For the offset from the most stable computed form, the calculation gives 0.0 meV per atom.

=====

[9]
Below is a geometry-optimized Ta2Pb structure, with properties calculated at the PBE level.

Structure (CIF):
```
data_Ta2Pb
_chemical_formula_sum 'Ta2 Pb1'
_space_group_name_H-M_alt 'P 1'
_space_group_IT_number 1
_cell_length_a 4.882
_cell_length_b 4.882
_cell_length_c 2.955
_cell_angle_alpha 90.00
_cell_angle_beta 90.00
_cell_angle_gamma 120.00
loop_
_space_group_symop_operation_xyz
'x,y,z'
loop_
_atom_site_label
_atom_site_type_symbol
_atom_site_fract_x
_atom_site_fract_y
_atom_site_fract_z
Pb1 Pb 0.000 0.000 0.000
Ta1 Ta 0.667 0.333 0.334
Ta2 Ta 0.333 0.667 0.666
```

The density of states at the Fermi level is 2.150 states/eV per cell. The value obtained for the formation enthalpy at 0 K is 0.505 eV/atom.

=====

[10]
Below is a geometry-optimized Ta2Pb structure, with properties calculated at the PBE level.

Structure (CIF):
```
data_Ta2Pb
_chemical_formula_sum 'Ta4 Pb2'
_space_group_name_H-M_alt 'P 1'
_space_group_IT_number 1
_cell_length_a 5.748
_cell_length_b 5.748
_cell_length_c 6.880
_cell_angle_alpha 69.62
_cell_angle_beta 69.62
_cell_angle_gamma 35.87
loop_
_space_group_symop_operation_xyz
'x,y,z'
loop_
_atom_site_label
_atom_site_type_symbol
_atom_site_fract_x
_atom_site_fract_y
_atom_site_fract_z
Ta1 Ta 0.512 0.512 0.773
Ta2 Ta 0.840 0.840 0.065
Ta3 Ta 0.488 0.488 0.227
Ta4 Ta 0.160 0.160 0.935
Pb1 Pb 0.160 0.160 0.394
Pb2 Pb 0.840 0.840 0.606
```

The density of states at the Fermi level is 3.243 states/eV per cell. The value obtained for the formation enthalpy at 0 K is 0.312 eV/atom.

=====

[11]
Below is a geometry-optimized Ta3Pb structure, with properties calculated at the PBE level.

Structure (CIF):
```
data_Ta3Pb
_chemical_formula_sum 'Ta6 Pb2'
_space_group_name_H-M_alt 'P 1'
_space_group_IT_number 1
_cell_length_a 8.646
_cell_length_b 8.646
_cell_length_c 8.646
_cell_angle_alpha 150.60
_cell_angle_beta 150.60
_cell_angle_gamma 42.07
loop_
_space_group_symop_operation_xyz
'x,y,z'
loop_
_atom_site_label
_atom_site_type_symbol
_atom_site_fract_x
_atom_site_fract_y
_atom_site_fract_z
Ta1 Ta 0.500 0.000 0.500
Ta2 Ta 0.000 0.500 0.500
Ta3 Ta 0.750 0.250 0.500
Ta4 Ta 0.250 0.750 0.500
Ta5 Ta 0.121 0.121 0.000
Ta6 Ta 0.879 0.879 0.000
Pb1 Pb 0.375 0.375 0.000
Pb2 Pb 0.625 0.625 0.000
```

The density of states at the Fermi level is 4.956 states/eV per cell. The value obtained for the formation enthalpy at 0 K is 0.359 eV/atom.

=====

[12]
Below is a geometry-optimized Ta2Pb structure, with properties calculated at the PBE level.

Structure (CIF):
```
data_Ta2Pb
_chemical_formula_sum 'Ta4 Pb2'
_space_group_name_H-M_alt 'P 1'
_space_group_IT_number 1
_cell_length_a 7.142
_cell_length_b 7.142
_cell_length_c 4.774
_cell_angle_alpha 90.00
_cell_angle_beta 90.00
_cell_angle_gamma 150.53
loop_
_space_group_symop_operation_xyz
'x,y,z'
loop_
_atom_site_label
_atom_site_type_symbol
_atom_site_fract_x
_atom_site_fract_y
_atom_site_fract_z
Ta1 Ta 0.425 0.575 0.250
Ta2 Ta 0.575 0.425 0.750
Ta3 Ta 0.764 0.236 0.250
Ta4 Ta 0.236 0.764 0.750
Pb1 Pb 0.095 0.905 0.250
Pb2 Pb 0.905 0.095 0.750
```

The density of states at the Fermi level is 2.276 states/eV per cell. The value obtained for the formation enthalpy at 0 K is 0.373 eV/atom.

=====

Look up the formation enthalpy at 0 K of the fourth one. 0.300 eV/atom